Entry 1:
Tb2SeCl | PBE-GGA | optimized geometry

Cell and atoms, written as POSCAR:
```
Tb2SeCl
1.0
1.9654 1.1347 7.2750
-1.9654 1.1347 7.2750
0.0000 -2.2694 7.2750
Tb Se Cl
2 1 1
direct
0.2405 0.2405 0.2405 Tb
0.7595 0.7595 0.7595 Tb
0.5000 0.5000 0.5000 Se
0.0000 0.0000 0.0000 Cl
```

Values from the calculation:
- final energy (eV per atom) = -5.077
- space group = R-3m
- total magnetization (μB/cell) = 0.00
- ΔE_f (raw) (eV per atom) = -1.429


Entry 2:
Tb2SeCl5 | PBE-GGA | optimized geometry

Cell and atoms, written as POSCAR:
```
Tb2SeCl5
1.0
-2.2808 4.1384 5.2962
2.2808 -4.1384 5.2962
2.2808 4.1384 -5.2962
Tb Se Cl
2 1 5
direct
0.2486 0.2486 0.0000 Tb
0.7514 0.7514 0.0000 Tb
0.5000 0.0000 0.5000 Se
0.0000 0.0000 0.0000 Cl
0.0227 0.3348 0.6879 Cl
0.3531 0.6652 0.6879 Cl
0.6469 0.3348 0.3121 Cl
0.9773 0.6652 0.3121 Cl
```

Values from the calculation:
- final energy (eV per atom) = -4.509
- space group = Immm
- total magnetization (μB/cell) = 1.00
- ΔE_f (raw) (eV per atom) = -1.762


Entry 3:
TbSeCl | PBE-GGA | optimized geometry

Cell and atoms, written as POSCAR:
```
TbSeCl
1.0
0.0000 3.3975 3.3975
3.3975 0.0000 3.3975
3.3975 3.3975 0.0000
Tb Se Cl
1 1 1
direct
0.0000 0.0000 0.0000 Tb
0.2500 0.2500 0.2500 Se
0.7500 0.7500 0.7500 Cl
```

Values from the calculation:
- final energy (eV per atom) = -5.251
- space group = F-43m
- total magnetization (μB/cell) = 0.00
- ΔE_f (raw) (eV per atom) = -1.931